6
Lattice="3.416 0.235 0.001 -0.402 5.778 0.001 -0.001 -0.002 9.842" Properties=species:S:1:pos:R:3 comment="PrEr4Tm | Alexandria | PBE | optimized geometry" final_energy_ev_per_cell=-26.3 space_group="Pmmm, No. 47" formation_enthalpy_0k_kj_per_mol_atoms=19 pbc="T T T"
Pr 3.405 0.242 4.940
Er 3.204 3.130 6.838
Er 3.204 3.131 3.043
Er 1.698 0.124 1.826
Er 1.697 0.123 8.053
Tm 1.497 3.014 0.019